Ac3Pt5Au12: relaxed, PBE.

As for the volume: 2231 Å³ per cell. The calculation puts the formation energy at 1.3 eV/f.u. The space group is No. 230.

Lattice parameters (Å, degrees): 14.2571 14.2571 14.2571 109.47 109.47 109.47
Fractional coordinates of all 80 atoms:
Ac  0.1250  0.2500  0.3750
Ac  0.1250  0.3750  0.7500
Ac  0.2500  0.3750  0.1250
Ac  0.2500  0.8750  0.6250
Ac  0.3750  0.1250  0.2500
Ac  0.3750  0.7500  0.1250
Ac  0.6250  0.2500  0.8750
Ac  0.6250  0.8750  0.7500
Ac  0.7500  0.1250  0.3750
Ac  0.7500  0.6250  0.8750
Ac  0.8750  0.6250  0.2500
Ac  0.8750  0.7500  0.6250
Pt  0.0000  0.0000  0.0000
Pt  0.0000  0.0000  0.5000
Pt  0.0000  0.5000  0.0000
Pt  0.0000  0.5000  0.5000
Pt  0.1250  0.7500  0.8750
Pt  0.1250  0.8750  0.2500
Pt  0.2500  0.1250  0.8750
Pt  0.2500  0.6250  0.3750
Pt  0.3750  0.2500  0.6250
Pt  0.3750  0.6250  0.7500
Pt  0.5000  0.0000  0.0000
Pt  0.5000  0.0000  0.5000
Pt  0.5000  0.5000  0.0000
Pt  0.5000  0.5000  0.5000
Pt  0.6250  0.3750  0.2500
Pt  0.6250  0.7500  0.3750
Pt  0.7500  0.3750  0.6250
Pt  0.7500  0.8750  0.1250
Pt  0.8750  0.1250  0.7500
Pt  0.8750  0.2500  0.1250
Au  0.0353  0.2057  0.1194
Au  0.0353  0.3296  0.9159
Au  0.0841  0.6194  0.4137
Au  0.0841  0.9647  0.6704
Au  0.0863  0.7057  0.6704
Au  0.0863  0.8806  0.4159
Au  0.1194  0.0353  0.2057
Au  0.1194  0.5841  0.9137
Au  0.1704  0.2057  0.5863
Au  0.1704  0.4647  0.5841
Au  0.2057  0.1194  0.0353
Au  0.2057  0.5863  0.1704
Au  0.2943  0.3296  0.9137
Au  0.2943  0.4647  0.3806
Au  0.3296  0.9137  0.2943
Au  0.3296  0.9159  0.0353
Au  0.3806  0.2943  0.4647
Au  0.3806  0.5863  0.9159
Au  0.4137  0.0841  0.6194
Au  0.4137  0.8296  0.7943
Au  0.4159  0.0863  0.8806
Au  0.4159  0.8296  0.5353
Au  0.4647  0.3806  0.2943
Au  0.4647  0.5841  0.1704
Au  0.5353  0.4159  0.8296
Au  0.5353  0.6194  0.7057
Au  0.5841  0.1704  0.4647
Au  0.5841  0.9137  0.1194
Au  0.5863  0.1704  0.2057
Au  0.5863  0.9159  0.3806
Au  0.6194  0.4137  0.0841
Au  0.6194  0.7057  0.5353
Au  0.6704  0.0841  0.9647
Au  0.6704  0.0863  0.7057
Au  0.7057  0.5353  0.6194
Au  0.7057  0.6704  0.0863
Au  0.7943  0.4137  0.8296
Au  0.7943  0.8806  0.9647
Au  0.8296  0.5353  0.4159
Au  0.8296  0.7943  0.4137
Au  0.8806  0.4159  0.0863
Au  0.8806  0.9647  0.7943
Au  0.9137  0.1194  0.5841
Au  0.9137  0.2943  0.3296
Au  0.9159  0.0353  0.3296
Au  0.9159  0.3806  0.5863
Au  0.9647  0.6704  0.0841
Au  0.9647  0.7943  0.8806



Ac3Pt2Au3: relaxed, PBE.

As for the volume: 435 Å³ per cell. The calculation puts the formation energy at -7.5 eV/f.u. The space group is No. 63.

Lattice parameters (Å, degrees): 6.1665 6.1665 17.2740 90.00 90.00 138.58
Fractional coordinates of all 16 atoms:
Ac  0.1141  0.8859  0.5926
Ac  0.1141  0.8859  0.9074
Ac  0.3680  0.6320  0.7500
Ac  0.6320  0.3680  0.2500
Ac  0.8859  0.1141  0.0926
Ac  0.8859  0.1141  0.4074
Pt  0.1969  0.8031  0.1246
Pt  0.1969  0.8031  0.3754
Pt  0.8031  0.1969  0.6246
Pt  0.8031  0.1969  0.8754
Au  0.3570  0.6430  0.2500
Au  0.4036  0.5964  0.5496
Au  0.4036  0.5964  0.9504
Au  0.5964  0.4036  0.0496
Au  0.5964  0.4036  0.4504
Au  0.6430  0.3570  0.7500